MnClO3 | PBE+U | optimized geometry

Cell lengths 3.6831, 3.6831, 3.6831 Å; angles 90.00, 90.00, 90.00 degrees
Closest atoms and distances in Å follow each position.
Element x y z (fractional)
1 Mn 0.0000 0.0000 0.0000  6 O 1.84
2 Cl 0.5000 0.5000 0.5000  12 O 2.60
3 O 0.0000 0.0000 0.5000  2 Mn 1.84
4 O 0.0000 0.5000 0.0000  2 Mn 1.84
5 O 0.5000 0.0000 0.0000  2 Mn 1.84

Summary:
magnetic moment	0.00	Bohr magnetons per cell
total DFT energy (no corrections)	-22.76	eV/cell
theoretical density	4.60	g/cm³
volume	49.96	Å³ per cell